1.
Compound: Nd7Al2Pt2
Source: the Alexandria database
Functional: PBE-GGA
Structure: optimized geometry

## Properties
- VASP energy: -115.285 eV/cell
- Formation energy: -427 meV per atom

Geometry as CIF:
```
data_Nd7Al2Pt2
_symmetry_space_group_name_H-M 'C m m m'
_symmetry_Int_Tables_number 65
_symmetry_space_group_name_Hall '-C 2 2'
_cell_length_a 8.278
_cell_length_b 11.277
_cell_length_c 7.200
_cell_angle_alpha 90.00
_cell_angle_beta 90.00
_cell_angle_gamma 90.00
loop_
_atom_site_label
_atom_site_type_symbol
_atom_site_fract_x
_atom_site_fract_y
_atom_site_fract_z
_atom_site_occupancy
Nd1 Nd 0.000 0.000 0.000 1
Nd2 Nd 0.000 0.500 0.259 1
Nd3 Nd 0.250 0.250 0.263 1
Al1 Al 0.160 0.000 0.500 1
Pt1 Pt 0.000 0.291 0.000 1
```

***

2.
Compound: Nd2Al5Pt3
Source: the Alexandria database
Functional: PBE-GGA
Structure: optimized geometry

## Properties
- VASP energy: -224.350 eV/cell
- Formation energy: -972 meV per atom

Geometry as CIF:
```
data_Nd2Al5Pt3
_symmetry_space_group_name_H-M 'C m c 21'
_symmetry_Int_Tables_number 36
_symmetry_space_group_name_Hall 'C 2c -2'
_cell_length_a 4.373
_cell_length_b 25.478
_cell_length_c 6.833
_cell_angle_alpha 90.00
_cell_angle_beta 90.00
_cell_angle_gamma 90.00
loop_
_atom_site_label
_atom_site_type_symbol
_atom_site_fract_x
_atom_site_fract_y
_atom_site_fract_z
_atom_site_occupancy
Nd1 Nd 0.000 0.018 0.000 1
Nd2 Nd 0.000 0.325 0.029 1
Al1 Al 0.000 0.103 0.352 1
Al2 Al 0.000 0.207 0.843 1
Al3 Al 0.000 0.212 0.241 1
Al4 Al 0.000 0.373 0.507 1
Al5 Al 0.000 0.444 0.172 1
Pt1 Pt 0.000 0.108 0.744 1
Pt2 Pt 0.000 0.274 0.544 1
Pt3 Pt 0.000 0.447 0.786 1
```

***

3.
Compound: Nd3Al4Pt2
Source: the Alexandria database
Functional: PBE-GGA
Structure: optimized geometry

## Properties
- VASP energy: -97.229 eV/cell
- Formation energy: -807 meV per atom

Geometry as CIF:
```
data_Nd3Al4Pt2
_symmetry_space_group_name_H-M 'C 1 2/m 1'
_symmetry_Int_Tables_number 12
_symmetry_space_group_name_Hall '-C 2y'
_cell_length_a 11.179
_cell_length_b 4.346
_cell_length_c 8.612
_cell_angle_alpha 90.00
_cell_angle_beta 106.47
_cell_angle_gamma 90.00
loop_
_atom_site_label
_atom_site_type_symbol
_atom_site_fract_x
_atom_site_fract_y
_atom_site_fract_z
_atom_site_occupancy
Nd1 Nd 0.000 0.000 0.000 1
Nd2 Nd 0.123 0.500 0.376 1
Al1 Al 0.088 0.000 0.650 1
Al2 Al 0.214 0.500 0.070 1
Pt1 Pt 0.189 0.500 0.767 1
```

***

4.
Compound: NdAlPt3
Source: the Alexandria database
Functional: PBE-GGA
Structure: optimized geometry

## Properties
- Energy above the lowest structure with this stoichiometry: 0.308 eV per atom
- VASP energy: -59.964 eV/cell
- Formation energy: -670 meV per atom

Geometry as CIF:
```
data_NdAlPt3
_symmetry_space_group_name_H-M 'P b a m'
_symmetry_Int_Tables_number 55
_symmetry_space_group_name_Hall '-P 2 2ab'
_cell_length_a 5.831
_cell_length_b 7.543
_cell_length_c 4.710
_cell_angle_alpha 90.00
_cell_angle_beta 90.00
_cell_angle_gamma 90.00
loop_
_atom_site_label
_atom_site_type_symbol
_atom_site_fract_x
_atom_site_fract_y
_atom_site_fract_z
_atom_site_occupancy
Nd1 Nd 0.000 0.000 0.000 1
Al1 Al 0.000 0.500 0.500 1
Pt1 Pt 0.000 0.500 0.000 1
Pt2 Pt 0.248 0.249 0.500 1
```

***

5.
Compound: NdAlPt4
Source: the Alexandria database
Functional: PBE-GGA
Structure: optimized geometry

## Properties
- Energy above the lowest structure with this stoichiometry: 0.155 eV per atom
- VASP energy: -149.263 eV/cell
- Formation energy: -774 meV per atom

Geometry as CIF:
```
data_NdAlPt4
_symmetry_space_group_name_H-M 'F -4 3 m'
_symmetry_Int_Tables_number 216
_symmetry_space_group_name_Hall 'F -4 2 3'
_cell_length_a 7.636
_cell_length_b 7.636
_cell_length_c 7.636
_cell_angle_alpha 90.00
_cell_angle_beta 90.00
_cell_angle_gamma 90.00
loop_
_atom_site_label
_atom_site_type_symbol
_atom_site_fract_x
_atom_site_fract_y
_atom_site_fract_z
_atom_site_occupancy
Nd1 Nd 0.000 0.000 0.000 1
Al1 Al 0.250 0.250 0.750 1
Pt1 Pt 0.124 0.124 0.376 1
```

***

6.
Compound: Nd2Al3Pt2
Source: the Alexandria database
Functional: PBE-GGA
Structure: optimized geometry

## Properties
- VASP energy: -78.971 eV/cell
- Formation energy: -949 meV per atom

Geometry as CIF:
```
data_Nd2Al3Pt2
_symmetry_space_group_name_H-M 'C 1 2/m 1'
_symmetry_Int_Tables_number 12
_symmetry_space_group_name_Hall '-C 2y'
_cell_length_a 10.851
_cell_length_b 4.242
_cell_length_c 7.169
_cell_angle_alpha 90.00
_cell_angle_beta 117.84
_cell_angle_gamma 90.00
loop_
_atom_site_label
_atom_site_type_symbol
_atom_site_fract_x
_atom_site_fract_y
_atom_site_fract_z
_atom_site_occupancy
Nd1 Nd 0.141 0.000 0.275 1
Al1 Al 0.000 0.500 0.500 1
Al2 Al 0.141 0.500 0.934 1
Pt1 Pt 0.138 0.000 0.716 1
```

***

7.
Compound: Nd3Al2Pt6
Source: the Alexandria database
Functional: PBE-GGA
Structure: optimized geometry

## Properties
- VASP energy: -279.396 eV/cell
- Formation energy: -1074 meV per atom

Geometry as CIF:
```
data_Nd3Al2Pt6
_symmetry_space_group_name_H-M 'I m -3 m'
_symmetry_Int_Tables_number 229
_symmetry_space_group_name_Hall '-I 4 2 3'
_cell_length_a 9.641
_cell_length_b 9.641
_cell_length_c 9.641
_cell_angle_alpha 90.00
_cell_angle_beta 90.00
_cell_angle_gamma 90.00
loop_
_atom_site_label
_atom_site_type_symbol
_atom_site_fract_x
_atom_site_fract_y
_atom_site_fract_z
_atom_site_occupancy
Nd1 Nd 0.000 0.000 0.297 1
Al1 Al 0.250 0.250 0.250 1
Pt1 Pt 0.000 0.321 0.321 1
```

***

8.
Compound: Nd8Al2Pt
Source: the Alexandria database
Functional: PBE-GGA
Structure: optimized geometry

## Properties
- Energy above the lowest structure with this stoichiometry: 0.000 eV per atom
- VASP energy: -110.387 eV/cell
- Formation energy: -320 meV per atom

Geometry as CIF:
```
data_Nd8Al2Pt
_symmetry_space_group_name_H-M 'C 1 2/m 1'
_symmetry_Int_Tables_number 12
_symmetry_space_group_name_Hall '-C 2y'
_cell_length_a 19.146
_cell_length_b 5.141
_cell_length_c 6.887
_cell_angle_alpha 90.00
_cell_angle_beta 103.53
_cell_angle_gamma 90.00
loop_
_atom_site_label
_atom_site_type_symbol
_atom_site_fract_x
_atom_site_fract_y
_atom_site_fract_z
_atom_site_occupancy
Nd1 Nd 0.021 0.000 0.279 1
Nd2 Nd 0.094 0.500 0.957 1
Nd3 Nd 0.153 0.500 0.473 1
Nd4 Nd 0.211 0.000 0.802 1
Al1 Al 0.186 0.000 0.244 1
Pt1 Pt 0.000 0.500 0.500 1
```

***

9.
Compound: Nd8Al2Pt
Source: the Alexandria database
Functional: PBE-GGA
Structure: optimized geometry

## Properties
- Energy above the lowest structure with this stoichiometry: 0.036 eV per atom
- VASP energy: -109.600 eV/cell
- Formation energy: -285 meV per atom

Geometry as CIF:
```
data_Nd8Al2Pt
_symmetry_space_group_name_H-M 'I m m m'
_symmetry_Int_Tables_number 71
_symmetry_space_group_name_Hall '-I 2 2'
_cell_length_a 5.408
_cell_length_b 7.125
_cell_length_c 16.740
_cell_angle_alpha 90.00
_cell_angle_beta 90.00
_cell_angle_gamma 90.00
loop_
_atom_site_label
_atom_site_type_symbol
_atom_site_fract_x
_atom_site_fract_y
_atom_site_fract_z
_atom_site_occupancy
Nd1 Nd 0.000 0.000 0.198 1
Nd2 Nd 0.000 0.237 0.366 1
Nd3 Nd 0.000 0.253 0.000 1
Al1 Al 0.000 0.500 0.185 1
Pt1 Pt 0.000 0.500 0.500 1
```

***

10.
Compound: NdAlPt4
Source: the Alexandria database
Functional: PBE-GGA
Structure: optimized geometry

## Properties
- Energy above the lowest structure with this stoichiometry: 0.000 eV per atom
- VASP energy: -152.988 eV/cell
- Formation energy: -929 meV per atom

Geometry as CIF:
```
data_NdAlPt4
_symmetry_space_group_name_H-M 'C m c m'
_symmetry_Int_Tables_number 63
_symmetry_space_group_name_Hall '-C 2c 2'
_cell_length_a 4.007
_cell_length_b 15.915
_cell_length_c 6.750
_cell_angle_alpha 90.00
_cell_angle_beta 90.00
_cell_angle_gamma 90.00
loop_
_atom_site_label
_atom_site_type_symbol
_atom_site_fract_x
_atom_site_fract_y
_atom_site_fract_z
_atom_site_occupancy
Nd1 Nd 0.000 0.103 0.250 1
Al1 Al 0.000 0.233 0.750 1
Pt1 Pt 0.000 0.079 0.750 1
Pt2 Pt 0.000 0.320 0.046 1
Pt3 Pt 0.000 0.500 0.000 1
```

***

11.
Compound: Nd2AlPt
Source: the Alexandria database
Functional: PBE-GGA
Structure: optimized geometry

## Properties
- Energy above the lowest structure with this stoichiometry: 0.000 eV per atom
- VASP energy: -22.036 eV/cell
- Formation energy: -679 meV per atom

Geometry as CIF:
```
data_Nd2AlPt
_symmetry_space_group_name_H-M 'P 4/m m m'
_symmetry_Int_Tables_number 123
_symmetry_space_group_name_Hall '-P 4 2'
_cell_length_a 3.662
_cell_length_b 3.662
_cell_length_c 7.402
_cell_angle_alpha 90.00
_cell_angle_beta 90.00
_cell_angle_gamma 90.00
loop_
_atom_site_label
_atom_site_type_symbol
_atom_site_fract_x
_atom_site_fract_y
_atom_site_fract_z
_atom_site_occupancy
Nd1 Nd 0.000 0.000 0.234 1
Al1 Al 0.500 0.500 0.500 1
Pt1 Pt 0.500 0.500 0.000 1
```

***

12.
Compound: Nd3Al3Pt2
Source: the Alexandria database
Functional: PBE-GGA
Structure: optimized geometry

## Properties
- VASP energy: -177.641 eV/cell
- Formation energy: -850 meV per atom

Geometry as CIF:
```
data_Nd3Al3Pt2
_symmetry_space_group_name_H-M 'P n m a'
_symmetry_Int_Tables_number 62
_symmetry_space_group_name_Hall '-P 2ac 2n'
_cell_length_a 8.154
_cell_length_b 15.259
_cell_length_c 5.895
_cell_angle_alpha 90.00
_cell_angle_beta 90.00
_cell_angle_gamma 90.00
loop_
_atom_site_label
_atom_site_type_symbol
_atom_site_fract_x
_atom_site_fract_y
_atom_site_fract_z
_atom_site_occupancy
Nd1 Nd 0.033 0.110 0.116 1
Nd2 Nd 0.172 0.250 0.619 1
Al1 Al 0.171 0.036 0.604 1
Al2 Al 0.177 0.750 0.603 1
Pt1 Pt 0.117 0.604 0.371 1
```

***

13.
Compound: NdAl2Pt4
Source: the Alexandria database
Functional: PBE-GGA
Structure: optimized geometry

## Properties
- Energy above the lowest structure with this stoichiometry: 0.033 eV per atom
- VASP energy: -86.608 eV/cell
- Formation energy: -984 meV per atom

Geometry as CIF:
```
data_NdAl2Pt4
_symmetry_space_group_name_H-M 'P 42/m n m'
_symmetry_Int_Tables_number 136
_symmetry_space_group_name_Hall '-P 4n 2n'
_cell_length_a 7.886
_cell_length_b 7.886
_cell_length_c 3.976
_cell_angle_alpha 90.00
_cell_angle_beta 90.00
_cell_angle_gamma 90.00
loop_
_atom_site_label
_atom_site_type_symbol
_atom_site_fract_x
_atom_site_fract_y
_atom_site_fract_z
_atom_site_occupancy
Nd1 Nd 0.000 0.000 0.000 1
Al1 Al 0.226 0.226 0.500 1
Pt1 Pt 0.078 0.672 0.500 1
```

***

14.
Compound: Nd3Al6Pt5
Source: the Alexandria database
Functional: PBE-GGA
Structure: optimized geometry

## Properties
- VASP energy: -163.651 eV/cell
- Formation energy: -1062 meV per atom

Geometry as CIF:
```
data_Nd3Al6Pt5
_symmetry_space_group_name_H-M 'P m m n'
_symmetry_Int_Tables_number 59
_cell_length_a 4.305
_cell_length_b 12.982
_cell_length_c 9.509
_cell_angle_alpha 90.00
_cell_angle_beta 90.00
_cell_angle_gamma 90.00
loop_
_symmetry_equiv_pos_as_xyz
'x,y,z'
'-x,-y,-z'
'-x+1/2,-y+1/2,z'
'x+1/2,y+1/2,-z'
'x+1/2,-y,-z'
'-x+1/2,y,z'
'-x,y+1/2,-z'
'x,-y+1/2,z'
loop_
_atom_site_label
_atom_site_type_symbol
_atom_site_fract_x
_atom_site_fract_y
_atom_site_fract_z
_atom_site_occupancy
Nd1 Nd 0.250 0.052 0.248 1
Nd2 Nd 0.250 0.750 0.258 1
Al1 Al 0.250 0.068 0.586 1
Al2 Al 0.250 0.250 0.040 1
Al3 Al 0.250 0.250 0.425 1
Al4 Al 0.250 0.597 0.980 1
Pt1 Pt 0.250 0.094 0.871 1
Pt2 Pt 0.250 0.634 0.536 1
Pt3 Pt 0.250 0.750 0.801 1
```

***

15.
Compound: Nd3AlPt
Source: the Alexandria database
Functional: PBE-GGA
Structure: optimized geometry

## Properties
- VASP energy: -53.513 eV/cell
- Formation energy: -534 meV per atom

Geometry as CIF:
```
data_Nd3AlPt
_symmetry_space_group_name_H-M 'P 1 m 1'
_symmetry_Int_Tables_number 6
_symmetry_space_group_name_Hall 'P -2y'
_cell_length_a 7.384
_cell_length_b 4.766
_cell_length_c 8.319
_cell_angle_alpha 90.00
_cell_angle_beta 101.08
_cell_angle_gamma 90.00
loop_
_atom_site_label
_atom_site_type_symbol
_atom_site_fract_x
_atom_site_fract_y
_atom_site_fract_z
_atom_site_occupancy
Nd1 Nd 0.000 0.000 0.000 1
Nd2 Nd 0.044 0.500 0.368 1
Nd3 Nd 0.245 0.500 0.764 1
Nd4 Nd 0.423 0.000 0.343 1
Nd5 Nd 0.630 0.500 0.073 1
Nd6 Nd 0.697 0.500 0.606 1
Al1 Al 0.558 0.000 0.782 1
Al2 Al 0.962 0.000 0.600 1
Pt1 Pt 0.255 0.500 0.117 1
Pt2 Pt 0.800 0.000 0.288 1
```

***

16.
Compound: NdAlPt2
Source: the Alexandria database
Functional: PBE-GGA
Structure: optimized geometry

## Properties
- VASP energy: -24.286 eV/cell
- Formation energy: -924 meV per atom

Geometry as CIF:
```
data_NdAlPt2
_symmetry_space_group_name_H-M 'P 4/m m m'
_symmetry_Int_Tables_number 123
_symmetry_space_group_name_Hall '-P 4 2'
_cell_length_a 3.173
_cell_length_b 3.173
_cell_length_c 7.349
_cell_angle_alpha 90.00
_cell_angle_beta 90.00
_cell_angle_gamma 90.00
loop_
_atom_site_label
_atom_site_type_symbol
_atom_site_fract_x
_atom_site_fract_y
_atom_site_fract_z
_atom_site_occupancy
Nd1 Nd 0.000 0.000 0.000 1
Al1 Al 0.000 0.000 0.500 1
Pt1 Pt 0.500 0.500 0.302 1
```

***

17.
Compound: Nd2Al6Pt9
Source: the Alexandria database
Functional: PBE-GGA
Structure: optimized geometry

## Properties
- VASP energy: -102.813 eV/cell
- Formation energy: -968 meV per atom

Geometry as CIF:
```
data_Nd2Al6Pt9
_symmetry_space_group_name_H-M 'P 6/m m m'
_symmetry_Int_Tables_number 191
_symmetry_space_group_name_Hall '-P 6 2'
_cell_length_a 5.6216
_cell_length_b 5.6216
_cell_length_c 11.8152
_cell_angle_alpha 90.00
_cell_angle_beta 90.00
_cell_angle_gamma 120.00
loop_
_atom_site_label
_atom_site_type_symbol
_atom_site_fract_x
_atom_site_fract_y
_atom_site_fract_z
_atom_site_occupancy
Nd1 Nd 0.0000 0.0000 0.1931 1
Al1 Al 0.3333 0.6667 0.1642 1
Al2 Al 0.3333 0.6667 0.5000 1
Pt1 Pt 0.0000 0.5000 0.0000 1
Pt2 Pt 0.0000 0.5000 0.3308 1
```

***

18.
Compound: Nd2AlPt7
Source: the Alexandria database
Functional: PBE-GGA
Structure: optimized geometry

## Properties
- VASP energy: -63.202 eV/cell
- Formation energy: -764 meV per atom

Geometry as CIF:
```
data_Nd2AlPt7
_symmetry_space_group_name_H-M 'P -4 m 2'
_symmetry_Int_Tables_number 115
_symmetry_space_group_name_Hall 'P -4 -2'
_cell_length_a 3.979
_cell_length_b 3.979
_cell_length_c 12.456
_cell_angle_alpha 90.00
_cell_angle_beta 90.00
_cell_angle_gamma 90.00
loop_
_atom_site_label
_atom_site_type_symbol
_atom_site_fract_x
_atom_site_fract_y
_atom_site_fract_z
_atom_site_occupancy
Nd1 Nd 0.000 0.500 0.234 1
Al1 Al 0.000 0.000 0.500 1
Pt1 Pt 0.000 0.000 0.000 1
Pt2 Pt 0.000 0.500 0.641 1
Pt3 Pt 0.000 0.500 0.848 1
Pt4 Pt 0.500 0.500 0.000 1
Pt5 Pt 0.500 0.500 0.500 1
```

***

19.
Compound: Nd2Al3Pt4
Source: the Alexandria database
Functional: PBE-GGA
Structure: optimized geometry

## Properties
- VASP energy: -219.695 eV/cell
- Formation energy: -1111 meV per atom

Geometry as CIF:
```
data_Nd2Al3Pt4
_symmetry_space_group_name_H-M 'C m c e'
_symmetry_Int_Tables_number 64
_symmetry_space_group_name_Hall '-C 2ac 2'
_cell_length_a 5.695
_cell_length_b 15.659
_cell_length_c 7.608
_cell_angle_alpha 90.00
_cell_angle_beta 90.00
_cell_angle_gamma 90.00
loop_
_atom_site_label
_atom_site_type_symbol
_atom_site_fract_x
_atom_site_fract_y
_atom_site_fract_z
_atom_site_occupancy
Nd1 Nd 0.000 0.107 0.092 1
Al1 Al 0.000 0.000 0.500 1
Al2 Al 0.250 0.228 0.750 1
Pt1 Pt 0.000 0.184 0.475 1
Pt2 Pt 0.250 0.062 0.750 1
```